Run P
# Tc2SnCl

An optimized crystal structure of Tc2SnCl (PBE, Alexandria).

Values from the calculation:
SG = I-42d, No. 122
Total magnetic moment = 0.00 μB per atom
Mass density = 6730 kg/m3

Geometry as POSCAR:
```
Tc2SnCl
1.0
-1.9395 -5.1218 2.3531
5.5570 -2.1540 -0.1081
2.5783 -1.8769 5.5897
Cl Sn Tc
2 2 4
Cartesian
1.8088 -3.6379 1.1225
4.9720 -3.8343 3.3020
0.0000 0.0000 0.0000
1.2238 -5.3183 4.5326
0.2407 -3.6393 2.7167
3.7616 -2.7559 1.7619
3.6160 -4.2623 5.0278
4.7733 -7.6477 6.1629
```

Run Q
# Tc2SnCl

An optimized crystal structure of Tc2SnCl (PBE, Alexandria).

Values from the calculation:
SG = Fm-3m, No. 225
Total magnetic moment = 0.00 μB per atom
Mass density = 8734 kg/m3

Geometry as POSCAR:
```
Tc2SnCl
1.0
0.0000 3.2169 3.2169
3.2169 0.0000 3.2169
3.2169 3.2169 0.0000
Cl Sn Tc
1 1 2
Cartesian
0.0000 0.0000 0.0000
3.2169 3.2169 3.2169
1.6084 1.6084 1.6084
4.8253 4.8253 4.8253
```

Which is most stable, and by how much? run Q, by 0.239 eV/atom.

Run P
# Tc2SnCl2

An optimized crystal structure of Tc2SnCl2 (PBE, Alexandria).

Values from the calculation:
SG = I4/mmm, No. 139
Total magnetic moment = 0.00 μB per atom
Mass density = 6596 kg/m3

Geometry as POSCAR:
```
Tc2SnCl2
1.0
-3.4707 -1.0963 -1.9337
2.1314 -0.6231 -3.4721
0.2056 -6.3007 -1.1893
Cl Sn Tc
2 1 2
Cartesian
-1.9673 -4.1283 -2.9130
0.8337 -3.8917 -3.6822
0.0000 0.0000 0.0000
-0.5014 -1.9055 -2.4120
-0.6322 -6.1146 -4.1831
```

Run Q
# Tc2SnCl2

An optimized crystal structure of Tc2SnCl2 (PBE, Alexandria).

Values from the calculation:
SG = P4/mbm, No. 127
Total magnetic moment = 0.00 μB per atom
Mass density = 5854 kg/m3

Geometry as POSCAR:
```
Tc2SnCl2
1.0
6.7882 0.0000 0.0000
0.0000 6.7882 0.0000
0.0000 0.0000 4.7478
Cl Sn Tc
4 2 4
Cartesian
2.2152 5.6093 2.3739
5.6093 4.5731 2.3739
4.5731 1.1789 2.3739
1.1789 2.2152 2.3739
0.0000 0.0000 0.0000
3.3941 3.3941 0.0000
2.6180 6.0122 0.0000
6.0122 4.1702 0.0000
4.1702 0.7761 0.0000
0.7761 2.6180 0.0000
```

Which is most stable, and by how much? run Q, by 0.271 eV/atom.